No. 1
A relaxed structure of PaSbTe. Source: the Alexandria database, functional PBE-GGA.

Calculated volume: 168.76 Å³ per cell
Energy: -6.271 eV/atom
Formation energy from raw total energies: -66.0 kJ per mole of atoms
Fermi-level density of states: 4.65 states/eV/f.u.
Space-group type: I4/mmm (139)

Cell lengths 4.360, 4.360, 9.397 Å; angles 103.42, 103.42, 90.00 degrees
Fractional coordinates of all 6 atoms:
Pa  0.369  0.369  0.738
Pa  0.631  0.631  0.262
Sb  0.500  0.000  0.000
Sb  0.000  0.500  0.000
Te  0.186  0.186  0.372
Te  0.814  0.814  0.628



No. 2
A relaxed structure of CaSn2O4. Source: the Alexandria database, functional PBE-GGA.

Calculated volume: 408.98 Å³ per cell
Energy: -6.075 eV/atom
Excess energy over the best structure of this formula in the dataset: 0.71 eV per formula unit
Formation energy from raw total energies: -174.9 kJ per mole of atoms
Space-group type: Pnma (62)

Cell lengths 3.256, 10.232, 12.278 Å; angles 90.00, 90.00, 90.00 degrees
Fractional coordinates of all 28 atoms:
Ca  0.250  0.227  0.664
Ca  0.250  0.727  0.836
Ca  0.750  0.273  0.164
Ca  0.750  0.773  0.336
O  0.250  0.430  0.090
O  0.750  0.213  0.795
O  0.250  0.930  0.410
O  0.250  0.787  0.205
O  0.750  0.570  0.910
O  0.750  0.887  0.999
O  0.750  0.387  0.501
O  0.750  0.538  0.308
O  0.250  0.613  0.499
O  0.250  0.462  0.692
O  0.750  0.713  0.705
O  0.250  0.287  0.295
O  0.750  0.070  0.590
O  0.250  0.113  0.001
O  0.750  0.038  0.192
O  0.250  0.962  0.808
Sn  0.250  0.947  0.111
Sn  0.750  0.053  0.889
Sn  0.250  0.411  0.896
Sn  0.250  0.447  0.389
Sn  0.750  0.089  0.396
Sn  0.250  0.911  0.604
Sn  0.750  0.589  0.104
Sn  0.750  0.553  0.611